Entry 1:
{
  "formula": "PmHo3Ir",
  "functional": "GGA-PBE",
  "state": "relaxed",
  "lattice_angstrom": [[7.6123, 0.0000, 0.0000], [0.0000, 6.5472, 0.0000], [0.0000, 0.0000, 6.2000]],
  "species": ["Pm", "Pm", "Ho", "Ho", "Ho", "Ho", "Ho", "Ho", "Ir", "Ir"],
  "fractional_positions": [[0.0000, 0.1474, 0.0000], [0.5000, 0.8526, 0.5000], [0.0000, 0.8464, 0.4904], [0.2487, 0.3176, 0.4966], [0.2513, 0.6824, 0.9966], [0.5000, 0.1536, 0.9904], [0.7487, 0.6824, 0.9966], [0.7513, 0.3176, 0.4966], [0.0000, 0.5061, 0.7443], [0.5000, 0.4939, 0.2443]],
  "formation_energy_mev_per_atom": -342,
  "dos_ef_per_ev_cell": 11.6,
  "space_group": "No. 31",
  "de_polymorph_kj_per_mol_atoms": 0.00
}

---

Entry 2:
{
  "formula": "K3Ho3SiS8",
  "functional": "GGA-PBE",
  "state": "relaxed",
  "lattice_angstrom": [[3.8961, 2.2494, 7.5172], [-3.8961, 2.2494, 7.5172], [0.0000, -4.4989, 7.5172]],
  "species": ["K", "K", "K", "Ho", "Ho", "Ho", "Si", "S", "S", "S", "S", "S", "S", "S", "S"],
  "fractional_positions": [[0.0000, 0.5000, 0.5000], [0.5000, 0.0000, 0.5000], [0.5000, 0.5000, 0.0000], [0.0000, 0.0000, 0.5000], [0.0000, 0.5000, 0.0000], [0.5000, 0.0000, 0.0000], [0.5000, 0.5000, 0.5000], [0.2337, 0.2337, 0.2337], [0.2671, 0.7073, 0.7073], [0.2927, 0.2927, 0.7329], [0.2927, 0.7329, 0.2927], [0.7073, 0.2671, 0.7073], [0.7073, 0.7073, 0.2671], [0.7329, 0.2927, 0.2927], [0.7663, 0.7663, 0.7663]],
  "raw_formation_energy_ev_per_atom": -1.54,
  "space_group": "No. 166"
}

---

Entry 3:
{
  "formula": "CdMo4As",
  "functional": "GGA-PBE",
  "state": "relaxed",
  "lattice_angstrom": [[0.0000, 3.7637, 3.7637], [3.7637, 0.0000, 3.7637], [3.7637, 3.7637, 0.0000]],
  "species": ["Cd", "Mo", "Mo", "Mo", "Mo", "As"],
  "fractional_positions": [[0.0000, 0.0000, 0.0000], [0.1198, 0.6267, 0.6267], [0.6267, 0.1198, 0.6267], [0.6267, 0.6267, 0.1198], [0.6267, 0.6267, 0.6267], [0.2500, 0.2500, 0.2500]],
  "formation_energy_mev_per_atom": 590,
  "dos_ef_per_ev_cell": 6.7,
  "space_group": "No. 216"
}

---

> Number 2 is which compound?

K3Ho3SiS8